Entry 1:
The following is a GGA-PBEsol calculation of a relaxed structure of Ba5Mg, from Alexandria via LeMat-Bulk.

abc: 6.197 6.264 8.408
angles: 90.00 111.62 90.00
Element x y z (fractional)
1 Ba 0.850 0.000 0.701
2 Ba 0.655 0.500 0.309
3 Ba 0.345 0.500 0.691
4 Ba 0.000 0.500 0.000
5 Ba 0.150 0.000 0.299
6 Mg 0.500 0.000 0.000

Properties
* total DFT energy (no corrections): -2.041 eV per atom
* N(E_F): 7.78 states/eV per cell
* formation energy: 0.0355 eV/atom
* calculated volume: 303 Å³ per cell



Entry 2:
The following is a GGA-PBEsol calculation of a relaxed structure of YRh4Pb, from Alexandria via LeMat-Bulk.

abc: 5.242 5.242 5.242
angles: 60.00 60.00 60.00
Element x y z (fractional)
1 Y 0.750 0.750 0.750
2 Rh 0.877 0.374 0.374
3 Rh 0.374 0.877 0.374
4 Rh 0.374 0.374 0.877
5 Rh 0.374 0.374 0.374
6 Pb 0.000 0.000 0.000

Properties
* total DFT energy (no corrections): -7.597 eV per atom
* N(E_F): 7.36 states/eV per cell
* formation energy: -0.3684 eV/atom
* calculated volume: 102 Å³ per cell